(1)
Density functional theory data (PBE-GGA) for Ca2MnCl8 after structural relaxation.

Cell and atoms, written as CIF:
```
data_Ca2MnCl8
_chemical_formula_sum 'Ca4 Mn2 Cl16'
_symmetry_space_group_name_H-M 'C 1 2/m 1'
_symmetry_Int_Tables_number 12
_symmetry_space_group_name_Hall '-C 2y'
_cell_length_a 14.5177
_cell_length_b 6.2039
_cell_length_c 6.6714
_cell_angle_alpha 90.00
_cell_angle_beta 91.00
_cell_angle_gamma 90.00
loop_
_atom_site_label
_atom_site_fract_x
_atom_site_fract_y
_atom_site_fract_z
Ca1 0.1383 0.0000 0.0344
Mn1 0.0000 0.0000 0.5000
Cl1 0.0202 0.2463 0.7498
Cl2 0.1558 0.0000 0.4478
Cl3 0.1880 0.5000 0.0599
```

Calculated total energy in eV per atom: -4.139
Formation energy from raw total energies in eV per atom: -1.599


(2)
Density functional theory data (PBE-GGA) for TcTe2P after structural relaxation.

Cell and atoms, written as CIF:
```
data_TcTe2P
_chemical_formula_sum 'Tc4 Te8 P4'
_symmetry_space_group_name_H-M 'I -4 2 d'
_symmetry_Int_Tables_number 122
_symmetry_space_group_name_Hall 'I -4 2bw'
_cell_length_a 6.4619
_cell_length_b 6.4619
_cell_length_c 10.7592
_cell_angle_alpha 90.00
_cell_angle_beta 90.00
_cell_angle_gamma 90.00
loop_
_atom_site_label
_atom_site_fract_x
_atom_site_fract_y
_atom_site_fract_z
Tc1 0.0000 0.0000 0.0000
Te1 0.2248 0.2500 0.1250
P1 0.0000 0.0000 0.5000
```

Calculated total energy in eV per atom: -4.926
Formation energy from raw total energies in eV per atom: 0.588


(3)
Density functional theory data (PBE-GGA) for BaBe4Re after structural relaxation.

Cell and atoms, written as CIF:
```
data_BaBe4Re
_chemical_formula_sum 'Ba4 Be16 Re4'
_symmetry_space_group_name_H-M 'F -4 3 m'
_symmetry_Int_Tables_number 216
_symmetry_space_group_name_Hall 'F -4 2 3'
_cell_length_a 6.9297
_cell_length_b 6.9297
_cell_length_c 6.9297
_cell_angle_alpha 90.00
_cell_angle_beta 90.00
_cell_angle_gamma 90.00
loop_
_atom_site_label
_atom_site_fract_x
_atom_site_fract_y
_atom_site_fract_z
Ba1 0.0000 0.0000 0.0000
Be1 0.1192 0.1192 0.6192
Re1 0.2500 0.2500 0.2500
```

Calculated total energy in eV per atom: -4.097
ΔH_f (0 K) in eV/atom: 0.782


(4)
Density functional theory data (PBE-GGA) for NbTe3Mo after structural relaxation.

Cell and atoms, written as CIF:
```
data_NbTe3Mo
_chemical_formula_sum 'Nb2 Te6 Mo2'
_symmetry_space_group_name_H-M 'A m m 2'
_symmetry_Int_Tables_number 38
_symmetry_space_group_name_Hall 'A 2 -2'
_cell_length_a 3.3627
_cell_length_b 12.5182
_cell_length_c 7.1835
_cell_angle_alpha 90.00
_cell_angle_beta 90.00
_cell_angle_gamma 90.00
loop_
_atom_site_label
_atom_site_fract_x
_atom_site_fract_y
_atom_site_fract_z
Nb1 0.0000 0.0000 0.0000
Te1 0.0000 0.1727 0.7567
Te2 0.5000 0.0000 0.3126
Mo1 0.5000 0.0000 0.7082
```

Calculated total energy in eV per atom: -6.130
Formation energy from raw total energies in eV per atom: -0.065